Entry 1:
Here is Ac2Hg4Bi after structural relaxation from the Alexandria database. Energies are from PBE-GGA.

Geometry as POSCAR:
```
Ac2Hg4Bi
1.0
-2.306 2.306 10.086
2.306 -2.306 10.086
2.306 2.306 -10.086
Ac Hg Bi
2 4 1
direct
0.104 0.104 0.000
0.896 0.896 0.000
0.250 0.750 0.500
0.345 0.345 0.000
0.655 0.655 0.000
0.750 0.250 0.500
0.500 0.500 0.000
```

Energy of formation from the pure elements (eV/atom): -0.41
Energy above the lowest structure with this stoichiometry (kJ/mol of formula units): 40.2


Entry 2:
Here is Tl12InPb6 after structural relaxation from the Alexandria database. Energies are from PBE-GGA.

Geometry as POSCAR:
```
Tl12InPb6
1.0
5.993 3.460 4.932
-5.993 3.460 4.932
0.000 -6.920 4.932
Tl In Pb
12 1 6
direct
0.018 0.924 0.308
0.076 0.692 0.982
0.128 0.455 0.349
0.308 0.018 0.924
0.349 0.128 0.455
0.455 0.349 0.128
0.545 0.651 0.872
0.651 0.872 0.545
0.692 0.982 0.076
0.872 0.545 0.651
0.924 0.308 0.018
0.982 0.076 0.692
0.500 0.500 0.500
0.237 0.390 0.763
0.237 0.763 0.610
0.390 0.763 0.237
0.610 0.237 0.763
0.763 0.237 0.390
0.763 0.610 0.237
```

Energy of formation from the pure elements (eV/atom): 0.03
Energy above the lowest structure with this stoichiometry (kJ/mol of formula units): 34.3


Entry 3:
Here is KIr2Cl after structural relaxation from the Alexandria database. Energies are from PBE-GGA.

Geometry as POSCAR:
```
KIr2Cl
1.0
-1.849 1.849 7.447
1.849 -1.849 7.447
1.849 1.849 -7.447
K Ir Cl
1 2 1
direct
0.000 0.000 0.000
0.250 0.750 0.500
0.750 0.250 0.500
0.500 0.500 0.000
```

Uncorrected formation energy (eV/atom): 0.5538
Energy above the lowest structure with this stoichiometry (kJ/mol of formula units): 195.8